Entry 1:
The following is a DFT calculation (PBE) of a relaxed PbSe2BrF crystal.

a b c (Å): 5.694 5.694 5.640
angles (deg): 90.00 90.00 90.00
Positions (direct):
Pb 0.000 0.000 0.000
Se 0.000 0.500 0.000
Se 0.500 0.000 0.000
Br 0.000 0.000 0.500
F 0.500 0.500 0.500

* energy: -2.56 eV per atom
* raw formation energy: 1.45 eV per formula unit
* crystal system: tetragonal
* M_tot: 3.257 μB/f.u.

Entry 2:
The following is a DFT calculation (PBE) of a relaxed PbSe2BrF crystal.

a b c (Å): 4.482 4.482 6.037
angles (deg): 90.00 90.00 90.00
Positions (direct):
Pb 0.000 0.000 0.000
Se 0.000 0.500 0.500
Se 0.500 0.000 0.500
Br 0.500 0.500 0.000
F 0.500 0.500 0.500

* energy: -3.05 eV per atom
* raw formation energy: -1.03 eV per formula unit
* crystal system: tetragonal
* M_tot: 0.000 μB/f.u.

Entry 3:
The following is a DFT calculation (PBE) of a relaxed SiPbBrF6 crystal.

a b c (Å): 5.394 5.570 5.694
angles (deg): 106.11 95.50 99.22
Positions (direct):
Si 0.000 0.000 0.000
Pb 0.984 0.606 0.392
Br 0.468 0.408 0.583
F 0.166 0.298 0.037
F 0.184 0.990 0.272
F 0.211 0.858 0.833
F 0.793 0.138 0.179
F 0.821 0.980 0.732
F 0.834 0.702 0.998

* energy: -4.84 eV per atom
* raw formation energy: -21.53 eV per formula unit
* crystal system: triclinic
* M_tot: 1.011 μB/f.u.

Entry 4:
The following is a DFT calculation (PBE) of a relaxed Ta2PbBrF crystal.

a b c (Å): 5.508 5.508 5.632
angles (deg): 90.00 90.00 90.00
Positions (direct):
Ta 0.000 0.500 0.000
Ta 0.500 0.000 0.000
Pb 0.000 0.000 0.000
Br 0.000 0.000 0.500
F 0.500 0.500 0.500

* energy: -4.38 eV per atom
* raw formation energy: 9.08 eV per formula unit
* crystal system: tetragonal
* M_tot: 5.757 μB/f.u.

Entry 5:
The following is a DFT calculation (PBE) of a relaxed TcPb2BrF crystal.

a b c (Å): 5.590 5.590 4.128
angles (deg): 90.00 90.00 90.00
Positions (direct):
Tc 0.000 0.000 0.000
Pb 0.000 0.500 0.500
Pb 0.500 0.000 0.500
Br 0.500 0.500 0.000
F 0.000 0.000 0.500

* energy: -4.15 eV per atom
* raw formation energy: 0.56 eV per formula unit
* crystal system: tetragonal
* M_tot: 1.925 μB/f.u.

Entry 6:
The following is a DFT calculation (PBE) of a relaxed TlPbBrF2 crystal.

a b c (Å): 4.812 4.812 6.274
angles (deg): 90.00 90.00 90.00
Positions (direct):
Tl 0.000 0.000 0.000
Pb 0.500 0.500 0.500
Br 0.500 0.500 0.000
F 0.000 0.500 0.500
F 0.500 0.000 0.500

* energy: -3.95 eV per atom
* raw formation energy: -8.28 eV per formula unit
* crystal system: tetragonal
* M_tot: 0.000 μB/f.u.

Entry 7:
The following is a DFT calculation (PBE) of a relaxed TlPb2BrF4 crystal.

a b c (Å): 4.164 4.164 10.405
angles (deg): 90.00 90.00 90.00
Positions (direct):
Tl 0.000 0.000 0.000
Pb 0.500 0.500 0.304
Pb 0.500 0.500 0.696
Br 0.000 0.000 0.500
F 0.000 0.500 0.191
F 0.000 0.500 0.809
F 0.500 0.000 0.191
F 0.500 0.000 0.809

* energy: -4.32 eV per atom
* raw formation energy: -15.62 eV per formula unit
* crystal system: tetragonal
* M_tot: 0.000 μB/f.u.

Entry 8:
The following is a DFT calculation (PBE) of a relaxed Tl2PbBr2F2 crystal.

a b c (Å): 4.839 4.839 17.613
angles (deg): 90.00 90.00 90.00
Positions (direct):
Tl 0.000 0.000 0.138
Tl 0.000 0.000 0.862
Tl 0.500 0.500 0.362
Tl 0.500 0.500 0.638
Pb 0.000 0.000 0.500
Pb 0.500 0.500 0.000
Br 0.000 0.000 0.324
Br 0.000 0.000 0.676
Br 0.500 0.500 0.176
Br 0.500 0.500 0.824
F 0.000 0.500 0.000
F 0.000 0.500 0.500
F 0.500 0.000 0.000
F 0.500 0.000 0.500

* energy: -3.68 eV per atom
* raw formation energy: -10.24 eV per formula unit
* crystal system: tetragonal
* M_tot: 0.000 μB/f.u.

Entry 9:
The following is a DFT calculation (PBE) of a relaxed TlPbBr2F crystal.

a b c (Å): 6.058 6.058 4.712
angles (deg): 90.00 90.00 90.00
Positions (direct):
Tl 0.000 0.000 0.000
Pb 0.500 0.500 0.500
Br 0.000 0.500 0.500
Br 0.500 0.000 0.500
F 0.500 0.500 0.000

* energy: -3.51 eV per atom
* raw formation energy: -6.28 eV per formula unit
* crystal system: tetragonal
* M_tot: 0.000 μB/f.u.